NiS2O at its PBEsol-relaxed geometry. Source: Alexandria via LeMat-Bulk, functional meta-GGA SCAN.

Geometry as POSCAR:
```
NiS2O
1.0
4.761 0.000 0.000
0.000 4.761 0.000
0.000 0.000 10.342
Ni S O
4 8 4
Cartesian
0.000 0.000 0.000
0.000 2.380 2.586
2.380 0.000 7.757
2.380 2.380 5.171
1.152 1.190 1.293
1.190 3.533 3.878
1.190 3.608 9.049
1.228 1.190 6.464
3.533 3.571 6.464
3.571 1.152 9.049
3.571 1.228 3.878
3.608 3.571 1.293
0.000 0.000 5.171
0.000 2.380 7.757
2.380 0.000 2.586
2.380 2.380 0.000
```

## Properties
- DOS(E_F) (states/eV/f.u.) = 1.57
- formation energy from raw total energies (eV per atom) = 0.2636
- total moment (μB per formula unit) = 0.000
- symmetry = No. 122
- V (Å³ per cell) = 234.4



ZrTe2Mo at its PBEsol-relaxed geometry. Source: Alexandria via LeMat-Bulk, functional meta-GGA SCAN.

Geometry as POSCAR:
```
ZrTe2Mo
1.0
3.332 0.000 0.000
-1.666 2.886 0.000
0.000 0.000 25.867
Zr Te Mo
3 6 3
Cartesian
0.000 0.000 0.000
0.000 1.924 17.245
1.666 0.962 8.622
0.000 0.000 6.289
0.000 0.000 19.579
0.000 1.924 10.956
0.000 1.924 23.533
1.666 0.962 2.334
1.666 0.962 14.911
0.000 0.000 12.934
0.000 1.924 4.311
1.666 0.962 21.556
```

## Properties
- DOS(E_F) (states/eV/f.u.) = 3.47
- formation energy from raw total energies (eV per atom) = 0.0117
- total moment (μB per formula unit) = 0.000
- symmetry = No. 166
- offset from the most stable computed form (meV/atom) = 244
- V (Å³ per cell) = 248.7



- The highest formation energy from raw total energies belongs to which entry?
  NiS2O